Entry 1:
This record from the Alexandria database describes a geometry-optimized MgSc2Tl structure. The functional is PBE.

## Properties
The calculation puts the polymorph energy (0 for the lowest one) at 26 meV/atom. Its space group is No. 123.

Cell lengths 3.645, 3.645, 6.912 Å; angles 90.00, 90.00, 90.00 degrees
Positions (direct):
Mg (0.000, 0.000, 0.000)
Sc (0.500, 0.500, 0.244)
Sc (0.500, 0.500, 0.756)
Tl (0.000, 0.000, 0.500)

***

Entry 2:
This record from the Alexandria database describes a geometry-optimized Mg12Sc5Tl3 structure. The functional is PBE.

## Properties
Its space group is No. 230.

Cell lengths 15.021, 15.021, 15.021 Å; angles 109.47, 109.47, 109.47 degrees
Positions (direct):
Mg (0.067, 0.644, 0.412)
Mg (0.067, 0.923, 0.655)
Mg (0.077, 0.232, 0.144)
Mg (0.077, 0.345, 0.933)
Mg (0.088, 0.732, 0.655)
Mg (0.088, 0.856, 0.433)
Mg (0.144, 0.077, 0.232)
Mg (0.144, 0.567, 0.912)
Mg (0.155, 0.232, 0.588)
Mg (0.155, 0.423, 0.567)
Mg (0.232, 0.144, 0.077)
Mg (0.232, 0.588, 0.155)
Mg (0.268, 0.345, 0.912)
Mg (0.268, 0.423, 0.356)
Mg (0.345, 0.912, 0.268)
Mg (0.345, 0.933, 0.077)
Mg (0.356, 0.268, 0.423)
Mg (0.356, 0.588, 0.933)
Mg (0.412, 0.067, 0.644)
Mg (0.412, 0.845, 0.768)
Mg (0.423, 0.356, 0.268)
Mg (0.423, 0.567, 0.155)
Mg (0.433, 0.088, 0.856)
Mg (0.433, 0.845, 0.577)
Mg (0.567, 0.155, 0.423)
Mg (0.567, 0.912, 0.144)
Mg (0.577, 0.433, 0.845)
Mg (0.577, 0.644, 0.732)
Mg (0.588, 0.155, 0.232)
Mg (0.588, 0.933, 0.356)
Mg (0.644, 0.412, 0.067)
Mg (0.644, 0.732, 0.577)
Mg (0.655, 0.067, 0.923)
Mg (0.655, 0.088, 0.732)
Mg (0.732, 0.577, 0.644)
Mg (0.732, 0.655, 0.088)
Mg (0.768, 0.412, 0.845)
Mg (0.768, 0.856, 0.923)
Mg (0.845, 0.577, 0.433)
Mg (0.845, 0.768, 0.412)
Mg (0.856, 0.433, 0.088)
Mg (0.856, 0.923, 0.768)
Mg (0.912, 0.144, 0.567)
Mg (0.912, 0.268, 0.345)
Mg (0.923, 0.655, 0.067)
Mg (0.923, 0.768, 0.856)
Mg (0.933, 0.077, 0.345)
Mg (0.933, 0.356, 0.588)
Sc (0.000, 0.000, 0.000)
Sc (0.000, 0.000, 0.500)
Sc (0.000, 0.500, 0.000)
Sc (0.000, 0.500, 0.500)
Sc (0.125, 0.750, 0.875)
Sc (0.125, 0.875, 0.250)
Sc (0.250, 0.125, 0.875)
Sc (0.250, 0.625, 0.375)
Sc (0.375, 0.250, 0.625)
Sc (0.375, 0.625, 0.750)
Sc (0.500, 0.000, 0.000)
Sc (0.500, 0.000, 0.500)
Sc (0.500, 0.500, 0.000)
Sc (0.500, 0.500, 0.500)
Sc (0.625, 0.375, 0.250)
Sc (0.625, 0.750, 0.375)
Sc (0.750, 0.375, 0.625)
Sc (0.750, 0.875, 0.125)
Sc (0.875, 0.125, 0.750)
Sc (0.875, 0.250, 0.125)
Tl (0.125, 0.250, 0.375)
Tl (0.125, 0.375, 0.750)
Tl (0.250, 0.375, 0.125)
Tl (0.250, 0.875, 0.625)
Tl (0.375, 0.125, 0.250)
Tl (0.375, 0.750, 0.125)
Tl (0.625, 0.250, 0.875)
Tl (0.625, 0.875, 0.750)
Tl (0.750, 0.125, 0.375)
Tl (0.750, 0.625, 0.875)
Tl (0.875, 0.625, 0.250)
Tl (0.875, 0.750, 0.625)

***

Entry 3:
This record from the Alexandria database describes a geometry-optimized MgSc6Tl structure. The functional is PBE.

## Properties
The calculation puts the polymorph energy (0 for the lowest one) at 0 meV/atom. Its space group is No. 123.

Cell lengths 4.534, 4.534, 9.194 Å; angles 90.00, 90.00, 90.00 degrees
Positions (direct):
Mg (0.000, 0.000, 0.000)
Sc (0.000, 0.500, 0.253)
Sc (0.000, 0.500, 0.747)
Sc (0.500, 0.000, 0.253)
Sc (0.500, 0.000, 0.747)
Sc (0.500, 0.500, 0.000)
Sc (0.500, 0.500, 0.500)
Tl (0.000, 0.000, 0.500)

***

Entry 4:
This record from the Alexandria database describes a geometry-optimized MgScTl structure. The functional is PBE.

## Properties
Its space group is No. 38.

Cell lengths 4.752, 4.082, 14.465 Å; angles 90.00, 90.00, 90.00 degrees
Positions (direct):
Mg (0.000, 0.000, 0.000)
Mg (0.000, 0.000, 0.330)
Mg (0.000, 0.500, 0.500)
Mg (0.000, 0.500, 0.830)
Sc (0.500, 0.000, 0.157)
Sc (0.500, 0.000, 0.835)
Sc (0.500, 0.500, 0.335)
Sc (0.500, 0.500, 0.657)
Tl (0.000, 0.000, 0.677)
Tl (0.000, 0.500, 0.177)
Tl (0.500, 0.000, 0.489)
Tl (0.500, 0.500, 0.989)

***

Number 1: calculated formation energy -18 kJ per mole of atoms, final energy -4.35 eV/atom. Number 2: calculated formation energy 64 kJ per mole of atoms, final energy -2.23 eV/atom. Number 3: calculated formation energy -8 kJ per mole of atoms, final energy -5.33 eV/atom. Number 4: calculated formation energy -13 kJ per mole of atoms, final energy -3.57 eV/atom.